Model a:
ZrCo2Si2: relaxed, PBE-GGA.

Unit cell a=3.7481 b=3.7481 c=9.6629 alpha=90.00 beta=90.00 gamma=90.00
Last column: nearest neighbours and their distance in Å.
Space group I4/mmm (No. 139)
One atom of each set of equivalent atoms:
Zr  0.0000  0.0000  0.0000 [2 per cell]  8 Si 2.90, 8 Co 3.06
Co  0.0000  0.5000  0.2500 [4 per cell]  4 Si 2.24
Si  0.0000  0.0000  0.3779 [4 per cell]  4 Co 2.24, 1 Si 2.36



Model b:
ZrCo2Si2: relaxed, PBE-GGA.

Unit cell a=3.9200 b=3.9200 c=8.9724 alpha=90.00 beta=90.00 gamma=90.00
Last column: nearest neighbours and their distance in Å.
Space group I4/mmm (No. 139)
One atom of each set of equivalent atoms:
Zr  0.0000  0.0000  0.0000 [2 per cell]  8 Si 2.98, 8 Co 2.99
Co  0.0000  0.0000  0.3755 [4 per cell]  1 Co 2.23, 4 Si 2.26
Si  0.0000  0.5000  0.2500 [4 per cell]  4 Co 2.26



Model c:
ZrCo2Si2: relaxed, PBE-GGA.

Unit cell a=10.5693 b=3.7394 c=8.0161 alpha=90.00 beta=117.02 gamma=90.00
Last column: nearest neighbours and their distance in Å.
Space group C2/m (No. 12)
One atom of each set of equivalent atoms:
Zr  0.2068  0.0000  0.3245 [4 per cell]  4 Co 2.61-2.91, 4 Si 2.78-2.82
Co  0.0755  0.0000  0.9169 [4 per cell]  3 Si 2.27-2.32, 2 Co 2.49-2.50
Co  0.1071  0.0000  0.6270 [4 per cell]  2 Co 2.25-2.49, 3 Si 2.34-2.40
Si  0.0108  0.5000  0.3366 [4 per cell]  4 Co 2.34-2.60
Si  0.1982  0.5000  0.0626 [4 per cell]  4 Co 2.27-2.40



Most stable: model a



Model a:
SmCo6: relaxed, PBE-GGA.

Unit cell a=7.8765 b=4.8554 c=9.8734 alpha=90.00 beta=90.00 gamma=90.00
Last column: nearest neighbours and their distance in Å.
Space group Pnma (No. 62)
One atom of each set of equivalent atoms:
Sm  0.2378  0.2500  0.0583 [4 per cell]  11 Co 2.80-3.12
Co  0.0679  0.7500  0.0947 [4 per cell]  5 Co 2.46-2.52
Co  0.0691  0.0105  0.3083 [8 per cell]  9 Co 2.33-2.59
Co  0.0911  0.2500  0.5227 [4 per cell]  6 Co 2.41-2.69
Co  0.1424  0.7500  0.8529 [4 per cell]  8 Co 2.46-2.69
Co  0.1832  0.2500  0.7558 [4 per cell]  9 Co 2.38-2.63



Model b:
SmCo6: relaxed, PBE-GGA.

Unit cell a=6.0473 b=6.0473 c=6.0473 alpha=90.00 beta=90.00 gamma=90.00
Last column: nearest neighbours and their distance in Å.
Space group Im-3m (No. 229)
One atom of each set of equivalent atoms:
Sm  0.0000  0.0000  0.0000 [2 per cell]  24 Co 3.38
Co  0.0000  0.2500  0.5000 [12 per cell]  4 Co 2.14



Most stable: model a



Model a:
Sm3CoSn: relaxed, PBE-GGA.

Unit cell a=5.1960 b=5.1960 c=5.1960 alpha=90.00 beta=90.00 gamma=90.00
Last column: nearest neighbours and their distance in Å.
Space group Pm-3m (No. 221)
One atom of each set of equivalent atoms:
Sm  0.0000  0.0000  0.5000 [3 per cell]  2 Co 2.60
Co  0.0000  0.0000  0.0000 [1 per cell]  6 Sm 2.60
Sn  0.5000  0.5000  0.5000 [1 per cell]  12 Sm 3.67



Model b:
Sm3CoSn: relaxed, PBE-GGA.

Unit cell a=5.3086 b=5.0438 c=10.3367 alpha=90.00 beta=90.00 gamma=90.00
Last column: nearest neighbours and their distance in Å.
Space group Pmma (No. 51)
One atom of each set of equivalent atoms:
Sm  0.2500  0.0000  0.1083 [2 per cell]  1 Co 2.89
Sm  0.2500  0.0000  0.6653 [2 per cell]  3 Co 2.71-2.87
Sm  0.2500  0.5000  0.3633 [2 per cell]  2 Co 2.53
Co  0.2500  0.0000  0.3879 [2 per cell]  4 Sm 2.53-2.71
Sn  0.2500  0.5000  0.8683 [2 per cell]  10 Sm 3.28-3.67



Most stable: model a



Model a:
TbSmCo: relaxed, PBE-GGA.

Unit cell a=5.7681 b=3.8059 c=7.1164 alpha=90.00 beta=94.55 gamma=90.00
Last column: nearest neighbours and their distance in Å.
Space group P2_1/m (No. 11)
One atom of each set of equivalent atoms:
Tb  0.1547  0.2500  0.1665 [2 per cell]  3 Co 2.76-2.95
Sm  0.3223  0.2500  0.6757 [2 per cell]  3 Co 2.78-3.02
Co  0.3707  0.7500  0.9601 [2 per cell]  2 Co 2.46



Model b:
TbSmCo: relaxed, PBE-GGA.

Unit cell a=3.4078 b=3.4078 c=12.8590 alpha=90.00 beta=90.00 gamma=90.00
Last column: nearest neighbours and their distance in Å.
Space group I4mm (No. 107)
One atom of each set of equivalent atoms:
Tb  0.0000  0.0000  0.0000 [2 per cell]  4 Co 2.89
Sm  0.0000  0.0000  0.2545 [2 per cell]  4 Co 2.94, 1 Tb 3.27
Co  0.0000  0.0000  0.6236 [2 per cell]  4 Tb 2.89, 4 Sm 2.94



Model c:
TbSmCo: relaxed, PBE-GGA.

Unit cell a=3.6957 b=6.4365 c=6.9474 alpha=74.86 beta=74.65 gamma=73.32
Last column: nearest neighbours and their distance in Å.
Space group P-1 (No. 2)
One atom of each set of equivalent atoms:
Tb  0.0782  0.2319  0.1117 [2 per cell]  4 Co 2.77-2.90
Sm  0.3259  0.2624  0.5866 [2 per cell]  3 Co 2.80-2.85
Co  0.3845  0.5396  0.1912 [2 per cell]  1 Co 2.70, 4 Tb 2.77-2.90, 3 Sm 2.80-2.85



Most stable: model c



Model a:
TbSmCo: relaxed, PBE-GGA.

Unit cell a=3.9292 b=3.9292 c=6.2104 alpha=90.00 beta=90.00 gamma=120.00
Last column: nearest neighbours and their distance in Å.
Space group P3m1 (No. 156)
One atom of each set of equivalent atoms:
Tb  0.0000  0.0000  0.0000 [1 per cell]  3 Co 2.68
Sm  0.6667  0.3333  0.5362 [1 per cell]  3 Co 2.70
Co  0.3333  0.6667  0.7717 [1 per cell]  3 Tb 2.68, 3 Sm 2.70



Model b:
TbSmCo: relaxed, PBE-GGA.

Unit cell a=3.4027 b=6.8266 c=6.8715 alpha=104.42 beta=104.30 gamma=90.05
Last column: nearest neighbours and their distance in Å.
Space group P-1 (No. 2)
One atom of each set of equivalent atoms:
Tb  0.1261  0.0627  0.2530 [2 per cell]  4 Co 2.88
Sm  0.1274  0.5644  0.2547 [2 per cell]  4 Co 2.94-2.95, 1 Sm 3.28
Co  0.5005  0.2424  0.0011 [2 per cell]  4 Tb 2.88, 4 Sm 2.94-2.95



Most stable: model b



Model a:
Tb3SmCo2: relaxed, PBE-GGA.

Unit cell a=16.5847 b=3.7514 c=11.8043 alpha=90.00 beta=124.84 gamma=90.00
Last column: nearest neighbours and their distance in Å.
Space group C2/m (No. 12)
One atom of each set of equivalent atoms:
Tb  0.0843  0.0000  0.4450 [4 per cell]  3 Co 2.79-2.96
Tb  0.0849  0.0000  0.9402 [4 per cell]  3 Co 2.77-2.92
Tb  0.1587  0.5000  0.7494 [4 per cell]  3 Co 2.75-2.99
Sm  0.1573  0.5000  0.2470 [4 per cell]  3 Co 2.75-3.02
Co  0.2339  0.5000  0.0473 [4 per cell]  2 Co 2.40
Co  0.2351  0.5000  0.5491 [4 per cell]  2 Co 2.40



Model b:
Tb3SmCo2: relaxed, PBE-GGA.

Unit cell a=16.2365 b=3.9849 c=11.6536 alpha=90.00 beta=123.28 gamma=90.00
Last column: nearest neighbours and their distance in Å.
Space group C2/m (No. 12)
One atom of each set of equivalent atoms:
Tb  0.0627  0.0000  0.1906 [4 per cell]  3 Co 2.69-2.70
Tb  0.1885  0.5000  0.0603 [4 per cell]  3 Co 2.67-2.70
Tb  0.1895  0.0000  0.5593 [4 per cell]  3 Co 2.67-2.69
Sm  0.0629  0.5000  0.6907 [4 per cell]  3 Co 2.71
Co  0.1252  0.0000  0.8779 [4 per cell]  4 Tb 2.67-2.70, 2 Sm 2.71
Co  0.1252  0.5000  0.3746 [4 per cell]  5 Tb 2.67-2.69, 1 Sm 2.71



Most stable: model a



Model a:
Tb3SmCo: relaxed, PBE-GGA.

Unit cell a=11.7076 b=8.2966 c=8.2209 alpha=90.00 beta=134.23 gamma=90.00
Last column: nearest neighbours and their distance in Å.
Space group C2/m (No. 12)
One atom of each set of equivalent atoms:
Tb  0.0469  0.0000  0.2525 [4 per cell]  1 Co 2.56
Tb  0.2494  0.2035  0.7939 [8 per cell]  1 Co 2.56
Sm  0.0473  0.5000  0.3377 [4 per cell]  1 Co 2.58
Co  0.2486  0.0000  0.1174 [4 per cell]  3 Tb 2.56, 1 Sm 2.58



Model b:
Tb3SmCo: relaxed, PBE-GGA.

Unit cell a=7.8393 b=7.3949 c=9.9500 alpha=90.00 beta=107.18 gamma=90.00
Last column: nearest neighbours and their distance in Å.
Space group P2_1/c (No. 14)
One atom of each set of equivalent atoms:
Tb  0.0756  0.1283  0.3881 [4 per cell]  3 Co 2.78-2.84
Tb  0.2096  0.5035  0.6139 [4 per cell]  2 Co 2.72-2.80
Tb  0.4112  0.6996  0.9663 [4 per cell]  1 Co 2.74
Sm  0.3183  0.0565  0.7476 [4 per cell]  1 Co 3.18, 4 Tb 3.28-3.55
Co  0.0501  0.7450  0.3956 [4 per cell]  6 Tb 2.72-2.84



Most stable: model a



Model a:
TbSmZnCo: relaxed, PBE-GGA.

Unit cell a=6.9842 b=6.9842 c=6.9842 alpha=90.00 beta=90.00 gamma=90.00
Last column: nearest neighbours and their distance in Å.
Space group F-43m (No. 216)
One atom of each set of equivalent atoms:
Tb  0.0000  0.0000  0.0000 [4 per cell]  4 Co 3.02, 4 Zn 3.02
Sm  0.0000  0.0000  0.5000 [4 per cell]  4 Co 3.02, 4 Zn 3.02
Zn  0.2500  0.2500  0.7500 [4 per cell]  4 Tb 3.02, 4 Sm 3.02
Co  0.2500  0.2500  0.2500 [4 per cell]  4 Tb 3.02, 4 Sm 3.02



Model b:
TbSmZnCo: relaxed, PBE-GGA.

Unit cell a=4.2982 b=3.9011 c=10.6523 alpha=90.00 beta=90.00 gamma=90.00
Last column: nearest neighbours and their distance in Å.
Space group Amm2 (No. 38)
One atom of each set of equivalent atoms:
Tb  0.0000  0.0000  0.0000 [2 per cell]  3 Zn 2.92-3.15, 4 Co 3.01
Sm  0.5000  0.0000  0.7192 [2 per cell]  3 Co 2.92-3.15, 4 Zn 3.01
Zn  0.0000  0.0000  0.2958 [2 per cell]  2 Co 2.54
Co  0.5000  0.0000  0.4236 [2 per cell]  2 Zn 2.54



Most stable: model b



Model a:
SmCoTc: relaxed, PBE-GGA.

Unit cell a=4.9631 b=5.5731 c=7.6814 alpha=90.00 beta=90.00 gamma=90.00
Last column: nearest neighbours and their distance in Å.
Space group Imma (No. 74)
One atom of each set of equivalent atoms:
Sm  0.0000  0.2500  0.1204 [4 per cell]  6 Co 2.99-3.23, 6 Tc 3.10-3.21, 4 Sm 3.18-3.34
Co  0.0000  0.0000  0.5000 [4 per cell]  4 Tc 2.68, 2 Co 2.79, 4 Sm 2.99
Tc  0.2500  0.2500  0.7500 [4 per cell]  2 Tc 2.48, 4 Co 2.68



Model b:
SmCoTc: relaxed, PBE-GGA.

Unit cell a=4.6565 b=4.9637 c=10.2764 alpha=90.00 beta=90.00 gamma=90.00
Last column: nearest neighbours and their distance in Å.
Space group Imma (No. 74)
One atom of each set of equivalent atoms:
Sm  0.0000  0.2500  0.1325 [4 per cell]  4 Tc 2.97, 2 Co 2.99
Co  0.0000  0.2500  0.7058 [4 per cell]  2 Tc 2.45, 2 Co 2.50
Tc  0.0000  0.0000  0.5000 [4 per cell]  2 Co 2.45, 2 Tc 2.48



Most stable: model a



Model a:
Sm4CoTe: relaxed, PBE-GGA.

Unit cell a=19.1165 b=5.3909 c=9.7095 alpha=90.00 beta=114.55 gamma=90.00
Last column: nearest neighbours and their distance in Å.
Space group C2/m (No. 12)
One atom of each set of equivalent atoms:
Sm  0.0279  0.0000  0.2031 [4 per cell]  2 Co 2.57-2.83
Sm  0.1057  0.5000  0.0321 [4 per cell]  2 Co 2.71
Sm  0.1941  0.0000  0.8969 [4 per cell]  1 Co 2.61
Sm  0.2461  0.0000  0.3191 [4 per cell]  1 Co 2.74
Co  0.1136  0.0000  0.0573 [4 per cell]  6 Sm 2.57-2.83
Te  0.1634  0.0000  0.5467 [4 per cell]  5 Sm 3.18-3.27



Model b:
Sm4CoTe: relaxed, PBE-GGA.

Unit cell a=8.4568 b=3.9266 c=19.7891 alpha=90.00 beta=90.00 gamma=90.00
Last column: nearest neighbours and their distance in Å.
Space group Pnma (No. 62)
One atom of each set of equivalent atoms:
Sm  0.0261  0.2500  0.0678 [4 per cell]  2 Co 2.89
Sm  0.0444  0.7500  0.2189 [4 per cell]  4 Te 3.23-3.24, 2 Sm 3.58
Sm  0.1338  0.7500  0.6469 [4 per cell]  2 Co 2.82
Sm  0.1462  0.7500  0.4531 [4 per cell]  3 Co 2.86-3.14
Co  0.2252  0.2500  0.5526 [4 per cell]  7 Sm 2.82-3.14
Te  0.2493  0.2500  0.3143 [4 per cell]  9 Sm 3.23-3.49



Most stable: model b